DFT (PBE) results for a geometry-optimized Sr2HIrSe structure.

## Properties
DFT total energy	-22.03	eV for the cell shown
M_tot	0.0	Bohr magnetons per cell

a b c (Å): 5.674 5.674 3.628
angles (deg): 90.00 90.00 90.00
Fractional coordinates of all 5 atoms:
1 Sr 0.000 0.500 0.000
2 Sr 0.500 0.000 0.000
3 H 0.000 0.000 0.500
4 Ir 0.000 0.000 0.000
5 Se 0.500 0.500 0.500

DFT (PBE) results for a geometry-optimized TbZrSb2 structure.

## Properties
energy relative to the lowest polymorph listed for this composition	46	meV/atom
E_form (uncorrected)	-0.811	eV per atom
DFT total energy	-24.67	eV for the cell shown
M_tot	0.2	Bohr magnetons per cell

a b c (Å): 7.740 7.740 7.740
angles (deg): 31.26 31.26 31.26
Fractional coordinates of all 4 atoms:
1 Tb 0.000 0.000 0.000
2 Zr 0.828 0.828 0.828
3 Sb 0.417 0.417 0.417
4 Sb 0.576 0.576 0.576

DFT (PBE) results for a geometry-optimized SrAlP2Os structure.

## Properties
DFT total energy	-24.93	eV for the cell shown
M_tot	0.0	Bohr magnetons per cell
formation enthalpy at 0 K	508	meV/atom

a b c (Å): 4.764 4.764 4.667
angles (deg): 90.00 90.00 90.00
Fractional coordinates of all 5 atoms:
1 Sr 0.000 0.000 0.000
2 Al 0.500 0.500 0.500
3 P 0.000 0.500 0.500
4 P 0.500 0.000 0.500
5 Os 0.500 0.500 0.000

DFT (PBE) results for a geometry-optimized Ce3SmTl3Se8 structure.

## Properties
E_form (uncorrected)	-1.436	eV per atom
DFT total energy	-79.03	eV for the cell shown
M_tot	2.0	Bohr magnetons per cell

a b c (Å): 8.594 8.594 9.187
angles (deg): 117.94 117.94 59.98
Fractional coordinates of all 15 atoms:
1 Ce 0.000 0.000 0.000
2 Ce 0.000 0.500 0.000
3 Ce 0.500 0.000 0.000
4 Sm 0.500 0.500 0.000
5 Tl 0.000 0.500 0.500
6 Tl 0.500 0.000 0.500
7 Tl 0.500 0.500 0.500
8 Se 0.234 0.736 0.204
9 Se 0.236 0.236 0.208
10 Se 0.264 0.766 0.796
11 Se 0.265 0.265 0.796
12 Se 0.735 0.735 0.204
13 Se 0.736 0.234 0.204
14 Se 0.764 0.764 0.792
15 Se 0.766 0.264 0.796

What is the formula in the first record?
Sr2HIrSe